(1)
The following is a DFT calculation (PBE-GGA) of NdMgGe2Rh after structural relaxation.

The value obtained for the formation energy is -0.722 eV per atom.

The space group is I-4m2 (No. 119) and the conventional cell measures 4.140, 4.140 and 11.311 Å, with angles of 90.00, 90.00 and 90.00 degrees. The asymmetric unit holds Nd at (0.000, 0.000, 0.000), Mg at (0.000, 0.500, 0.750), Ge at (0.000, 0.000, 0.389) and Rh at (0.000, 0.500, 0.250).

=====

(2)
The following is a DFT calculation (PBE-GGA) of Nd2MgGe3Rh4 after structural relaxation.

The value obtained for the formation energy is -0.826 eV per atom.

The space group is P-4m2 (No. 115) and the conventional cell measures 4.200, 4.200 and 10.624 Å, with angles of 90.00, 90.00 and 90.00 degrees. The asymmetric unit holds Nd at (0.000, 0.500, 0.245), Mg at (0.000, 0.000, 0.500), Ge at (0.000, 0.500, 0.874), Ge at (0.500, 0.500, 0.500), Rh at (0.000, 0.000, 0.000), Rh at (0.000, 0.500, 0.641) and Rh at (0.500, 0.500, 0.000).

=====

(3)
The following is a DFT calculation (PBE-GGA) of NdSmMgGe after structural relaxation.

The value obtained for the formation energy is -0.373 eV per atom.

The space group is F-43m (No. 216) and the conventional cell measures 7.439, 7.439 and 7.439 Å, with angles of 90.00, 90.00 and 90.00 degrees. The asymmetric unit holds Nd at (0.000, 0.000, 0.000), Sm at (0.000, 0.000, 0.500), Mg at (0.250, 0.250, 0.250) and Ge at (0.250, 0.250, 0.750).